No. 1
First-principles (PBE) data for a relaxed Ba6Al2Rh4O15 crystal, as listed in Alexandria.

Cell lengths 5.8498, 5.8498, 14.5911 Å; angles 90.00, 90.00, 121.53 degrees
Closest atoms and distances in Å follow each position.
Fractional positions:
Ba1 0.6758 0.3242 0.6808  4 O 2.62-2.83
Ba2 0.9960 0.0040 0.5000  6 O 2.66-2.91
Ba3 0.6758 0.3242 0.3192  4 O 2.62-2.83
Ba4 0.9906 0.0094 0.0000  6 O 2.74-3.02
Ba5 0.3285 0.6715 0.1575  6 O 2.75-2.95
Ba6 0.3285 0.6715 0.8425  6 O 2.75-2.95
O1 0.9588 0.5081 0.0000  2 Rh 2.01
O2 0.1618 0.3318 0.6648  1 Al 1.76
O3 0.4919 0.0412 0.0000  2 Rh 2.01
O4 0.8522 0.6520 0.8208  2 Rh 2.02
O5 0.1752 0.8248 0.3679  1 Al 1.77
O6 0.8592 0.1408 0.8364  1 Rh 1.98
O7 0.3480 0.1478 0.1792  2 Rh 2.02
O8 0.3480 0.1478 0.8208  2 Rh 2.02
O9 0.6682 0.8382 0.6648  1 Al 1.76
O10 0.4008 0.5992 0.5000  2 Al 1.77
O11 0.6682 0.8382 0.3352  1 Al 1.76
O12 0.8522 0.6520 0.1792  2 Rh 2.02
O13 0.1752 0.8248 0.6321  1 Al 1.77
O14 0.8592 0.1408 0.1636  1 Rh 1.98
O15 0.1618 0.3318 0.3352  1 Al 1.76
Al1 0.3467 0.6533 0.6151  4 O 1.76-1.77
Al2 0.3467 0.6533 0.3849  4 O 1.76-1.77
Rh1 0.6468 0.3532 0.0875  4 O 2.01-2.02
Rh2 0.0053 0.9947 0.7474  5 O 1.98-2.07
Rh3 0.0053 0.9947 0.2526  5 O 1.98-2.07
Rh4 0.6468 0.3532 0.9125  4 O 2.01-2.02

SG = Amm2, No. 38
Uncorrected energy = -6.5264 eV/atom
DOS(E_F) = 0.4988 states/eV/atom
Formation energy (no corrections) = -1978 meV/atom

=====

No. 2
First-principles (PBE) data for a relaxed BaAlRuO6 crystal, as listed in Alexandria.

Cell lengths 5.1400, 5.1400, 5.7343 Å; angles 90.00, 90.00, 60.00 degrees
Closest atoms and distances in Å follow each position.
Fractional positions:
O1 0.0001 0.5942 0.6917  1 Ru 1.91, 1 Al 1.91
O2 0.4056 0.0002 0.6917  1 Ru 1.91, 1 Al 1.91
O3 0.0002 0.4057 0.3083  1 Ru 1.91, 1 Al 1.91
O4 0.4056 0.5942 0.3083  1 Ru 1.91, 1 Al 1.91
O5 0.5941 0.4057 0.6917  1 Ru 1.91, 1 Al 1.91
O6 0.5941 0.0002 0.3083  1 Ru 1.91, 1 Al 1.91
Al1 0.6666 0.6667 0.5000  6 O 1.91
Ru1 0.3333 0.3333 0.5000  6 O 1.91
Ba1 0.0000 0.0000 0.0000  6 O 2.73

SG = P312, No. 149
Uncorrected energy = -6.8017 eV/atom
DOS(E_F) = 0.1395 states/eV/atom
Formation energy (no corrections) = -1836 meV/atom

=====

No. 3
First-principles (PBE) data for a relaxed BaAlRu2O8 crystal, as listed in Alexandria.

Cell lengths 5.3301, 5.3301, 7.4312 Å; angles 90.00, 90.00, 120.00 degrees
Closest atoms and distances in Å follow each position.
Fractional positions:
Ru1 0.6667 0.3333 0.2926  4 O 1.81-1.83
Ru2 0.3333 0.6667 0.7074  4 O 1.81-1.83
Ba1 0.0000 0.0000 0.0000  12 O 2.95-3.10
O1 0.3333 0.6667 0.9503  1 Ru 1.81
O2 0.9586 0.7005 0.3416  1 Ru 1.83, 1 Al 1.91
O3 0.7419 0.0414 0.3416  1 Ru 1.83, 1 Al 1.91
O4 0.0414 0.2995 0.6584  1 Ru 1.83, 1 Al 1.91
O5 0.2995 0.2581 0.3416  1 Ru 1.83, 1 Al 1.91
O6 0.7005 0.7419 0.6584  1 Ru 1.83, 1 Al 1.91
O7 0.6667 0.3333 0.0497  1 Ru 1.81
O8 0.2581 0.9586 0.6584  1 Ru 1.83, 1 Al 1.91
Al1 0.0000 0.0000 0.5000  6 O 1.91

SG = P-3, No. 147
Uncorrected energy = -6.8306 eV/atom
DOS(E_F) = 0.5452 states/eV/atom
Formation energy (no corrections) = -1507 meV/atom

=====

No. 4
First-principles (PBE) data for a relaxed Ba2AlRuO6 crystal, as listed in Alexandria.

Cell lengths 5.7621, 5.7621, 10.0057 Å; angles 73.27, 73.27, 60.00 degrees
Closest atoms and distances in Å follow each position.
Fractional positions:
O1 0.2019 0.2019 0.8828  1 Al 1.97, 1 Ru 1.99
O2 0.6056 0.1586 0.6301  1 Al 1.93, 1 Ru 2.01
O3 0.6056 0.6056 0.6301  1 Al 1.93, 1 Ru 2.01
O4 0.8414 0.3944 0.3699  1 Al 1.93, 1 Ru 2.01
O5 0.1586 0.6056 0.6301  1 Al 1.93, 1 Ru 2.01
O6 0.7981 0.7981 0.1172  1 Al 1.97, 1 Ru 1.99
O7 0.7134 0.2019 0.8828  1 Al 1.97, 1 Ru 1.99
O8 0.2019 0.7134 0.8828  1 Al 1.97, 1 Ru 1.99
O9 0.7981 0.2866 0.1172  1 Al 1.97, 1 Ru 1.99
O10 0.2866 0.7981 0.1172  1 Al 1.97, 1 Ru 1.99
O11 0.3944 0.3944 0.3699  1 Al 1.93, 1 Ru 2.01
O12 0.3944 0.8414 0.3699  1 Al 1.93, 1 Ru 2.01
Ba1 0.1279 0.1279 0.6163  12 O 2.89-2.99
Ba2 0.2861 0.2861 0.1417  12 O 2.83-2.98
Ba3 0.8721 0.8721 0.3837  12 O 2.89-2.99
Ba4 0.7139 0.7139 0.8583  12 O 2.83-2.98
Al1 0.5000 0.5000 0.5000  6 O 1.93
Al2 0.0000 0.0000 0.0000  6 O 1.97
Ru1 0.5911 0.5911 0.2266  6 O 1.99-2.01
Ru2 0.4089 0.4089 0.7734  6 O 1.99-2.01

SG = R-3m, No. 166
Uncorrected energy = -6.8947 eV/atom
DOS(E_F) = 0.2352 states/eV/atom
Formation energy (no corrections) = -2233 meV/atom

=====

No. 5
First-principles (PBE) data for a relaxed BaAlS2O8 crystal, as listed in Alexandria.

Cell lengths 4.7319, 4.7319, 9.4777 Å; angles 90.00, 90.00, 120.00 degrees
Closest atoms and distances in Å follow each position.
Fractional positions:
O1 0.6523 0.7176 0.6203  1 S 1.49
O2 0.0653 0.3477 0.6203  1 S 1.49
O3 0.7176 0.0653 0.3797  1 S 1.49
O4 0.2824 0.9347 0.6203  1 S 1.49
O5 0.6667 0.3333 0.1715  1 S 1.47
O6 0.3477 0.2824 0.3797  1 S 1.49
O7 0.9347 0.6523 0.3797  1 S 1.49
O8 0.3333 0.6667 0.8285  1 S 1.47
S1 0.6667 0.3333 0.3270  4 O 1.47-1.49
S2 0.3333 0.6667 0.6730  4 O 1.47-1.49
Al1 0.0000 0.0000 0.5000  6 O 1.90
Ba1 0.0000 0.0000 0.0000  6 O 3.18

SG = P-3, No. 147
Uncorrected energy = -6.2551 eV/atom
DOS(E_F) = 0.1464 states/eV/atom
Formation energy (no corrections) = -1790 meV/atom

=====

No. 6
First-principles (PBE) data for a relaxed Ba3AlSb2O9 crystal, as listed in Alexandria.

Cell lengths 5.8158, 5.8158, 7.1453 Å; angles 90.00, 90.00, 120.00 degrees
Closest atoms and distances in Å follow each position.
Fractional positions:
O1 0.3251 0.1625 0.6611  1 Al 2.00, 1 Sb 2.06
O2 0.5000 0.0000 0.0000  2 Sb 2.12
O3 0.5000 0.5000 0.0000  2 Sb 2.12
O4 0.8375 0.1625 0.6611  1 Al 2.00, 1 Sb 2.06
O5 0.6749 0.8375 0.3389  1 Al 2.00, 1 Sb 2.06
O6 0.8375 0.6749 0.6611  1 Al 2.00, 1 Sb 2.06
O7 0.1625 0.8375 0.3389  1 Al 2.00, 1 Sb 2.06
O8 0.1625 0.3251 0.3389  1 Al 2.00, 1 Sb 2.06
O9 0.0000 0.5000 0.0000  2 Sb 2.12
Ba1 0.0000 0.0000 0.0000  12 O 2.91-2.92
Ba2 0.3333 0.6667 0.6651  12 O 2.90-2.92
Ba3 0.6667 0.3333 0.3349  12 O 2.90-2.92
Sb1 0.6667 0.3333 0.8195  6 O 2.06-2.12
Sb2 0.3333 0.6667 0.1805  6 O 2.06-2.12
Al1 0.0000 0.0000 0.5000  6 O 2.00

SG = P-3m1, No. 164
Uncorrected energy = -6.4268 eV/atom
DOS(E_F) = 0.1142 states/eV/atom
Formation energy (no corrections) = -2268 meV/atom

=====

No. 7
First-principles (PBE) data for a relaxed BaAlSbO6 crystal, as listed in Alexandria.

Cell lengths 5.3409, 5.3409, 5.5635 Å; angles 90.00, 90.00, 60.00 degrees
Closest atoms and distances in Å follow each position.
Fractional positions:
O1 0.3858 0.6034 0.3084  1 Al 1.92, 1 Sb 2.00
O2 0.6034 0.0108 0.3084  1 Al 1.92, 1 Sb 2.00
O3 0.0108 0.3858 0.3084  1 Al 1.92, 1 Sb 2.00
O4 0.6034 0.3858 0.6916  1 Al 1.92, 1 Sb 2.00
O5 0.0107 0.6034 0.6916  1 Al 1.92, 1 Sb 2.00
O6 0.3858 0.0108 0.6916  1 Al 1.92, 1 Sb 2.00
Sb1 0.6666 0.6667 0.5000  6 O 2.00
Ba1 0.0000 0.0000 0.0000  6 O 2.70
Al1 0.3333 0.3333 0.5000  6 O 1.92

SG = P312, No. 149
Uncorrected energy = -6.2450 eV/atom
DOS(E_F) = 0.9234 states/eV/atom
Formation energy (no corrections) = -1852 meV/atom

=====

No. 8
First-principles (PBE) data for a relaxed Ba3Al2SbO8 crystal, as listed in Alexandria.

Cell lengths 5.8574, 5.8574, 7.5283 Å; angles 90.00, 90.00, 120.00 degrees
Closest atoms and distances in Å follow each position.
Fractional positions:
O1 0.6614 0.8307 0.3258  1 Al 1.81
O2 0.6667 0.3333 0.9975  1 Al 1.71
O3 0.3386 0.1693 0.6742  1 Al 1.81
O4 0.8307 0.1693 0.6742  1 Al 1.81
O5 0.1693 0.3386 0.3258  1 Al 1.81
O6 0.3333 0.6667 0.0025  1 Al 1.71
O7 0.1693 0.8307 0.3258  1 Al 1.81
O8 0.8307 0.6614 0.6742  1 Al 1.81
Ba1 0.3333 0.6667 0.6775  1 O 2.45
Ba2 0.0000 0.0000 0.0000  6 O 2.99
Ba3 0.6667 0.3333 0.3225  1 O 2.45
Al1 0.3333 0.6667 0.2302  4 O 1.71-1.81
Al2 0.6667 0.3333 0.7698  4 O 1.71-1.81
Sb1 0.0000 0.0000 0.5000  6 O 2.16

SG = P-3m1, No. 164
Uncorrected energy = -6.5630 eV/atom
DOS(E_F) = 0.2267 states/eV/atom
Formation energy (no corrections) = -2489 meV/atom